(1)
A plane-wave DFT calculation with PBE was carried out for an optimized crystal structure of Li2Co5Ge4.

Cell: 8.4168 7.5464 5.1920 Å, 80.40 62.13 37.46°
Last column: nearest neighbours and their distance in Å.
Element x y z (fractional)
Li (0.1060, 0.1060, 0.8940)  6 Ge 2.93-3.14, 6 Co 2.97-3.00, 1 Li 3.01
Li (0.8940, 0.8940, 0.1060)  6 Ge 2.93-3.14, 6 Co 2.97-3.00, 1 Li 3.01
Co (0.0000, 0.0000, 0.5000)  4 Ge 2.41, 4 Co 2.56-2.60
Co (0.2500, 0.2500, 0.2500)  4 Ge 2.29, 2 Co 2.56
Co (0.5000, 0.5000, 0.0000)  4 Ge 2.41, 4 Co 2.56-2.60
Co (0.5000, 0.5000, 0.5000)  4 Ge 2.33, 4 Co 2.60
Co (0.7500, 0.7500, 0.7500)  4 Ge 2.29, 2 Co 2.56
Ge (0.2144, 0.5240, 0.4760)  5 Co 2.29-2.41
Ge (0.4760, 0.7856, 0.2144)  5 Co 2.29-2.41
Ge (0.5240, 0.2144, 0.7856)  5 Co 2.29-2.41
Ge (0.7856, 0.4760, 0.5240)  5 Co 2.29-2.41

Computed properties:
E_form = -93 meV per atom
Space group = Fmmm, No. 69

=====

(2)
A plane-wave DFT calculation with PBE was carried out for an optimized crystal structure of Th2Ga5Ni5.

Cell: 4.1206 5.2278 8.9596 Å, 90.00 90.00 90.00°
Last column: nearest neighbours and their distance in Å.
Element x y z (fractional)
Th (0.0000, 0.0000, 0.0000)  10 Ni 3.01-3.33, 8 Ga 3.24
Th (0.0000, 0.5000, 0.5000)  6 Ni 2.93-3.00
Ga (0.5000, 0.0000, 0.5000)  4 Ni 2.53, 4 Ga 2.70
Ga (0.5000, 0.2512, 0.2373)  5 Ni 2.49-2.60, 3 Ga 2.60-2.70
Ga (0.5000, 0.2512, 0.7627)  5 Ni 2.49-2.60, 3 Ga 2.60-2.70
Ga (0.5000, 0.7488, 0.2373)  5 Ni 2.49-2.60, 3 Ga 2.60-2.70
Ga (0.5000, 0.7488, 0.7627)  5 Ni 2.49-2.60, 3 Ga 2.60-2.70
Ni (0.0000, 0.0000, 0.3357)  6 Ga 2.53-2.60
Ni (0.0000, 0.0000, 0.6643)  6 Ga 2.53-2.60
Ni (0.0000, 0.5000, 0.1732)  4 Ga 2.50, 2 Ni 2.58
Ni (0.0000, 0.5000, 0.8268)  4 Ga 2.50, 2 Ni 2.58
Ni (0.5000, 0.5000, 0.0000)  4 Ga 2.49, 4 Ni 2.58

Computed properties:
E_form = -567 meV per atom
Space group = Pmmm, No. 47